{"formula": "Ga2Pd4Pt5", "functional": "PBE-GGA", "state": "optimized geometry", "lattice_angstrom": [[6.855, 0.000, 0.000], [0.000, 2.790, 0.000], [-0.457, 0.000, 8.990]], "species": ["Ga", "Ga", "Pd", "Pd", "Pd", "Pd", "Pt", "Pt", "Pt", "Pt", "Pt"], "frac_coords": [[0.081, 0.000, 0.152], [0.919, 0.000, 0.848], [0.172, 0.500, 0.397], [0.246, 0.500, 0.948], [0.754, 0.500, 0.052], [0.828, 0.500, 0.603], [0.184, 0.000, 0.671], [0.446, 0.000, 0.194], [0.500, 0.000, 0.500], [0.554, 0.000, 0.806], [0.816, 0.000, 0.329]], "e_tot_ev_per_atom": -5.42, "magnetic_moment_mub_per_atom": 0.00, "vol_a3_per_cell": 172}



{"formula": "Pm2ThTl9", "functional": "PBE-GGA", "state": "optimized geometry", "lattice_angstrom": [[4.811, 0.000, 0.000], [0.000, 4.811, 0.000], [0.000, 0.000, 14.440]], "species": ["Pm", "Pm", "Th", "Tl", "Tl", "Tl", "Tl", "Tl", "Tl", "Tl", "Tl", "Tl"], "frac_coords": [[0.000, 0.000, 0.167], [0.000, 0.000, 0.833], [0.000, 0.000, 0.500], [0.000, 0.500, 0.000], [0.000, 0.500, 0.332], [0.000, 0.500, 0.668], [0.500, 0.000, 0.000], [0.500, 0.000, 0.332], [0.500, 0.000, 0.668], [0.500, 0.500, 0.165], [0.500, 0.500, 0.500], [0.500, 0.500, 0.835]], "e_tot_ev_per_atom": -3.44, "magnetic_moment_mub_per_atom": 0.00, "vol_a3_per_cell": 334}



{"formula": "TaNb3Re", "functional": "PBE-GGA", "state": "optimized geometry", "lattice_angstrom": [[8.240, -1.595, 0.000], [8.240, 1.595, 0.000], [-1.852, 0.000, 6.962]], "species": ["Ta", "Ta", "Nb", "Nb", "Nb", "Nb", "Nb", "Nb", "Re", "Re"], "frac_coords": [[0.124, 0.124, 0.175], [0.876, 0.876, 0.825], [0.042, 0.042, 0.732], [0.225, 0.225, 0.629], [0.317, 0.317, 0.093], [0.683, 0.683, 0.907], [0.775, 0.775, 0.371], [0.958, 0.958, 0.268], [0.411, 0.411, 0.546], [0.589, 0.589, 0.454]], "relative_energy_mev_per_atom": 56.0, "e_tot_ev_per_atom": -10.83, "magnetic_moment_mub_per_atom": 0.00, "vol_a3_per_cell": 183}



{"formula": "ZrHgRh", "functional": "PBE-GGA", "state": "optimized geometry", "lattice_angstrom": [[4.648, 0.000, 0.000], [-2.324, 4.025, 0.000], [0.000, 0.000, 3.031]], "species": ["Zr", "Hg", "Rh"], "frac_coords": [[0.000, 0.000, 0.000], [0.667, 0.333, 0.449], [0.333, 0.667, 0.770]], "relative_energy_mev_per_atom": 183.0, "e_tot_ev_per_atom": -5.68, "magnetic_moment_mub_per_atom": 0.00, "vol_a3_per_cell": 57}



{"formula": "Pu", "functional": "PBE-GGA", "state": "optimized geometry", "lattice_angstrom": [[0.000, 2.802, 3.546], [1.765, 0.000, 3.546], [1.765, 2.802, 0.000]], "species": ["Pu", "Pu"], "frac_coords": [[0.125, 0.125, 0.125], [0.875, 0.875, 0.875]], "relative_energy_mev_per_atom": 72.9, "e_tot_ev_per_atom": -14.26, "magnetic_moment_mub_per_atom": 0.00, "vol_a3_per_cell": 35}



no.,DFT formation energy (eV per atom)
1,-0.2348
2,-0.2595
3,0.0679
4,-0.2819
5,0.0729